Here is a geometry-optimized TbGeBi structure from Alexandria via LeMat-Bulk. Energies are from PBE.

Values from the calculation:
formation enthalpy at 0 K	-0.251	eV/atom
offset from the most stable computed form	336	meV/atom
calculated total energy	-4.627	eV per atom

a = 4.956 Å, b = 4.956 Å, c = 3.844 Å
α = 90.00°, β = 90.00°, γ = 120.00°
Element x y z (fractional)
Tb 0.000 0.000 0.000
Ge 0.667 0.333 0.498
Bi 0.333 0.667 0.501